No. 1
TbGdCo | PBE-GGA | relaxed

Unit cell a=3.8931 b=3.8931 c=6.2053 alpha=90.00 beta=90.00 gamma=120.00
Atoms (fractional coordinates):
1 Tb 0.0000 0.0000 0.0000
2 Gd 0.6667 0.3333 0.5356
3 Co 0.3333 0.6667 0.7672

Summary:
- DFT formation energy: -0.06 eV/atom
- Density: 7.65 g cm⁻³
- Relative energy among the computed polymorphs: 23 meV/atom
- Energy: -8.6672 eV per atom


No. 2
BaAg2H | PBE-GGA | relaxed

Unit cell a=5.3079 b=5.3079 c=5.3079 alpha=60.00 beta=60.00 gamma=60.00
Atoms (fractional coordinates):
1 Ba 0.0000 0.0000 0.0000
2 Ag 0.2500 0.2500 0.2500
3 Ag 0.7500 0.7500 0.7500
4 H 0.5000 0.5000 0.5000

Summary:
- Density: 5.56 g cm⁻³
- Relative energy among the computed polymorphs: 409 meV/atom
- Energy: -2.2698 eV per atom


No. 3
K2CdBi | PBE-GGA | relaxed

Unit cell a=5.9556 b=5.9556 c=5.9556 alpha=60.00 beta=60.00 gamma=60.00
Atoms (fractional coordinates):
1 K 0.2500 0.2500 0.2500
2 K 0.7500 0.7500 0.7500
3 Cd 0.0000 0.0000 0.0000
4 Bi 0.5000 0.5000 0.5000

Summary:
- DFT formation energy: -0.15 eV/atom
- Density: 4.44 g cm⁻³
- Relative energy among the computed polymorphs: 106 meV/atom
- Energy: -1.8938 eV per atom


No. 4
Sc2NiH | PBE-GGA | relaxed

Unit cell a=6.4273 b=6.4273 c=6.2166 alpha=109.93 beta=109.93 gamma=30.24
Atoms (fractional coordinates):
1 Sc 0.0212 0.0212 0.2676
2 Sc 0.2911 0.2911 0.2631
3 Sc 0.7089 0.7089 0.7369
4 Sc 0.9788 0.9788 0.7324
5 Ni 0.3855 0.3855 0.9327
6 Ni 0.6145 0.6145 0.0673
7 H 0.1125 0.1125 0.6071
8 H 0.8875 0.8875 0.3929

Summary:
- Density: 4.11 g cm⁻³
- Relative energy among the computed polymorphs: 0 meV/atom
- Energy: -5.9266 eV per atom


No. 5
Dy6CdCu2 | PBE-GGA | relaxed

Unit cell a=8.4985 b=8.4985 c=8.4985 alpha=112.57 beta=109.98 gamma=105.93
Atoms (fractional coordinates):
1 Dy 0.0444 0.2403 0.8042
2 Dy 0.1839 0.2836 0.4675
3 Dy 0.1839 0.7164 0.9003
4 Dy 0.3215 0.0176 0.6961
5 Dy 0.3215 0.6254 0.3039
6 Dy 0.4361 0.2403 0.1958
7 Dy 0.5639 0.7597 0.8042
8 Dy 0.6785 0.3746 0.6961
9 Dy 0.6785 0.9824 0.3039
10 Dy 0.8161 0.2836 0.0997
11 Dy 0.8161 0.7164 0.5325
12 Dy 0.9556 0.7597 0.1958
13 Cd 0.0000 0.0000 0.0000
14 Cd 0.5000 0.5000 0.0000
15 Cu 0.1195 0.6195 0.5000
16 Cu 0.3515 0.0000 0.3515
17 Cu 0.6485 0.0000 0.6485
18 Cu 0.8805 0.3805 0.5000

Summary:
- DFT formation energy: -0.17 eV/atom
- Density: 8.57 g cm⁻³
- Energy: -4.2549 eV per atom


No. 6
La2SnBiRu | PBE-GGA | relaxed

Unit cell a=5.4839 b=5.4839 c=5.1058 alpha=90.00 beta=90.00 gamma=90.00
Atoms (fractional coordinates):
1 La 0.0000 0.5000 0.0000
2 La 0.5000 0.0000 0.0000
3 Sn 0.0000 0.0000 0.5000
4 Bi 0.5000 0.5000 0.5000
5 Ru 0.0000 0.0000 0.0000

Summary:
- DFT formation energy: -0.61 eV/atom
- Density: 7.64 g cm⁻³
- Energy: -6.0167 eV per atom


No. 7
ZnPbCl2 | PBE-GGA | relaxed

Unit cell a=7.2633 b=7.2633 c=7.2633 alpha=150.46 beta=140.84 gamma=49.80
Atoms (fractional coordinates):
1 Zn 0.0000 0.0000 0.0000
2 Pb 0.7873 0.2873 0.5000
3 Cl 0.3171 0.8171 0.5000
4 Cl 0.6225 0.6225 0.0000

Summary:
- Density: 4.80 g cm⁻³
- Relative energy among the computed polymorphs: 128 meV/atom
- Energy: -2.7105 eV per atom
- ΔE_f (raw): -209 kJ/mol of formula units


No. 8
Na2CaBiF8 | PBE-GGA | relaxed

Unit cell a=3.8979 b=5.5835 c=7.8085 alpha=90.00 beta=90.00 gamma=90.00
Atoms (fractional coordinates):
1 Na 0.0000 0.0000 0.2291
2 Na 0.0000 0.0000 0.7709
3 Ca 0.5000 0.5000 0.0000
4 Bi 0.5000 0.5000 0.5000
5 F 0.0000 0.2617 0.0000
6 F 0.0000 0.2768 0.5000
7 F 0.0000 0.7232 0.5000
8 F 0.0000 0.7383 0.0000
9 F 0.5000 0.2640 0.2689
10 F 0.5000 0.2640 0.7311
11 F 0.5000 0.7360 0.2689
12 F 0.5000 0.7360 0.7311

Summary:
- Density: 4.37 g cm⁻³
- Energy: -4.7297 eV per atom
- ΔE_f (raw): -3210 kJ/mol of formula units


No. 9
LiCdOs4 | PBE-GGA | relaxed

Unit cell a=5.2017 b=5.2017 c=5.2017 alpha=60.00 beta=60.00 gamma=60.00
Atoms (fractional coordinates):
1 Li 0.0000 0.0000 0.0000
2 Cd 0.2500 0.2500 0.2500
3 Os 0.1244 0.6252 0.6252
4 Os 0.6252 0.1244 0.6252
5 Os 0.6252 0.6252 0.1244
6 Os 0.6252 0.6252 0.6252

Summary:
- DFT formation energy: 0.60 eV/atom
- Density: 14.69 g cm⁻³
- Energy: -7.3543 eV per atom


No. 10
Ac2LaPm2Pr | PBE-GGA | relaxed

Unit cell a=7.4461 b=6.0079 c=10.3451 alpha=90.00 beta=90.00 gamma=90.00
Atoms (fractional coordinates):
1 Ac 0.0000 0.0000 0.0000
2 Ac 0.2500 0.5000 0.1696
3 Ac 0.5000 0.0000 0.0000
4 Ac 0.7500 0.5000 0.8304
5 La 0.0000 0.5000 0.5000
6 La 0.5000 0.5000 0.5000
7 Pm 0.2500 0.0000 0.3422
8 Pm 0.2500 0.5000 0.8251
9 Pm 0.7500 0.0000 0.6578
10 Pm 0.7500 0.5000 0.1749
11 Pr 0.2500 0.0000 0.6656
12 Pr 0.7500 0.0000 0.3344

Summary:
- DFT formation energy: 0.06 eV/atom
- Density: 7.35 g cm⁻³
- Energy: -4.5091 eV per atom


No. 11
ThZn2Au3 | PBE-GGA | relaxed

Unit cell a=4.5559 b=4.5559 c=13.3482 alpha=90.00 beta=90.00 gamma=120.00
Atoms (fractional coordinates):
1 Th 0.0000 0.0000 0.2500
2 Th 0.0000 0.0000 0.7500
3 Zn 0.3333 0.6667 0.0842
4 Zn 0.3333 0.6667 0.4158
5 Zn 0.6667 0.3333 0.5842
6 Zn 0.6667 0.3333 0.9158
7 Au 0.0000 0.0000 0.0000
8 Au 0.0000 0.0000 0.5000
9 Au 0.3333 0.6667 0.6257
10 Au 0.3333 0.6667 0.8743
11 Au 0.6667 0.3333 0.1257
12 Au 0.6667 0.3333 0.3743

Summary:
- DFT formation energy: -0.46 eV/atom
- Density: 13.20 g cm⁻³
- Energy: -3.7593 eV per atom


No. 12
Li3Nd2Tl2 | PBE-GGA | relaxed

Unit cell a=5.9551 b=5.9551 c=6.8214 alpha=105.48 beta=105.48 gamma=49.29
Atoms (fractional coordinates):
1 Li 0.0000 0.0000 0.0000
2 Li 0.1060 0.1060 0.4257
3 Li 0.8940 0.8940 0.5743
4 Nd 0.3511 0.3511 0.2305
5 Nd 0.6489 0.6489 0.7695
6 Tl 0.3475 0.3475 0.7512
7 Tl 0.6525 0.6525 0.2488

Summary:
- DFT formation energy: -0.24 eV/atom
- Density: 6.80 g cm⁻³
- Energy: -3.0969 eV per atom


No. 13
PuTl3Cr2Te6 | PBE-GGA | relaxed

Unit cell a=7.2295 b=7.2295 c=8.5035 alpha=98.32 beta=98.32 gamma=119.57
Atoms (fractional coordinates):
1 Pu 0.0000 0.0000 0.0000
2 Tl 0.1540 0.8460 0.5000
3 Tl 0.5000 0.5000 0.5000
4 Tl 0.8460 0.1540 0.5000
5 Cr 0.3320 0.6680 0.0000
6 Cr 0.6680 0.3320 0.0000
7 Te 0.0671 0.4300 0.1988
8 Te 0.3006 0.3006 0.8105
9 Te 0.4300 0.0671 0.1988
10 Te 0.5700 0.9329 0.8012
11 Te 0.6994 0.6994 0.1895
12 Te 0.9329 0.5700 0.8012

Summary:
- Density: 7.74 g cm⁻³
- Energy: -5.3630 eV per atom
- ΔE_f (raw): -466 kJ/mol of formula units


No. 14
Sc7Tl | PBE-GGA | relaxed

Unit cell a=6.4829 b=6.4829 c=6.4829 alpha=60.00 beta=60.00 gamma=60.00
Atoms (fractional coordinates):
1 Sc 0.0000 0.0000 0.0000
2 Sc 0.0000 0.0000 0.5000
3 Sc 0.0000 0.5000 0.0000
4 Sc 0.0000 0.5000 0.5000
5 Sc 0.5000 0.0000 0.0000
6 Sc 0.5000 0.0000 0.5000
7 Sc 0.5000 0.5000 0.0000
8 Tl 0.5000 0.5000 0.5000

Summary:
- DFT formation energy: -0.05 eV/atom
- Density: 4.47 g cm⁻³
- Energy: -5.8824 eV per atom


No. 15
LaPtI2O | PBE-GGA | relaxed

Unit cell a=5.7396 b=5.7396 c=3.9689 alpha=90.00 beta=90.00 gamma=90.00
Atoms (fractional coordinates):
1 La 0.0000 0.0000 0.0000
2 Pt 0.5000 0.5000 0.5000
3 I 0.0000 0.5000 0.5000
4 I 0.5000 0.0000 0.5000
5 O 0.5000 0.5000 0.0000

Summary:
- Density: 7.67 g cm⁻³
- Relative energy among the computed polymorphs: 23 meV/atom
- Energy: -4.3362 eV per atom
- ΔE_f (raw): -256 kJ/mol of formula units


No. 16
Os3PbN | PBE-GGA | relaxed

Unit cell a=5.0343 b=5.0343 c=5.0343 alpha=90.00 beta=90.00 gamma=90.00
Atoms (fractional coordinates):
1 Os 0.0000 0.0000 0.5000
2 Os 0.0000 0.5000 0.0000
3 Os 0.5000 0.0000 0.0000
4 Pb 0.0000 0.0000 0.0000
5 N 0.5000 0.5000 0.5000

Summary:
- Density: 10.31 g cm⁻³
- Relative energy among the computed polymorphs: 3376 meV/atom
- Energy: -4.7231 eV per atom
- ΔE_f (raw): 2133 kJ/mol of formula units


No. 17
La2GaF | PBE-GGA | relaxed

Unit cell a=7.6115 b=7.6115 c=7.6115 alpha=30.00 beta=30.00 gamma=30.00
Atoms (fractional coordinates):
1 La 0.2354 0.2354 0.2354
2 La 0.7646 0.7646 0.7646
3 Ga 0.0000 0.0000 0.0000
4 F 0.5000 0.5000 0.5000

Summary:
- Density: 6.23 g cm⁻³
- Relative energy among the computed polymorphs: 0 meV/atom
- Energy: -5.1453 eV per atom
- ΔE_f (raw): -562 kJ/mol of formula units


No. 18
Cr2TcNi | PBE-GGA | relaxed

Unit cell a=2.5033 b=4.0954 c=4.8735 alpha=90.00 beta=100.59 gamma=90.00
Atoms (fractional coordinates):
1 Cr 0.0000 0.0000 0.0000
2 Cr 0.2436 0.5000 0.7801
3 Tc 0.5048 0.0000 0.5019
4 Ni 0.9094 0.5000 0.2590

Summary:
- DFT formation energy: 0.10 eV/atom
- Density: 8.81 g cm⁻³
- Energy: -8.7465 eV per atom


No. 19
Mg3OsO | PBE-GGA | relaxed

Unit cell a=4.9047 b=4.9047 c=4.9047 alpha=90.00 beta=90.00 gamma=90.00
Atoms (fractional coordinates):
1 Mg 0.0000 0.0000 0.5000
2 Mg 0.0000 0.5000 0.0000
3 Mg 0.5000 0.0000 0.0000
4 Os 0.0000 0.0000 0.0000
5 O 0.5000 0.5000 0.5000

Summary:
- Density: 3.93 g cm⁻³
- Relative energy among the computed polymorphs: 1557 meV/atom
- Energy: -3.2714 eV per atom
- ΔE_f (raw): 445 kJ/mol of formula units


No. 20
NbCl3F | PBE-GGA | relaxed

Unit cell a=6.9308 b=7.4114 c=11.5021 alpha=90.00 beta=95.69 gamma=90.00
Atoms (fractional coordinates):
1 Nb 0.0638 0.1505 0.3632
2 Nb 0.0638 0.8495 0.8632
3 Nb 0.9362 0.1505 0.1368
4 Nb 0.9362 0.8495 0.6368
5 Cl 0.1415 0.1456 0.9664
6 Cl 0.1415 0.8544 0.4664
7 Cl 0.1948 0.3599 0.2019
8 Cl 0.1948 0.6401 0.7019
9 Cl 0.3097 0.2944 0.4792
10 Cl 0.3097 0.7056 0.9792
11 Cl 0.6903 0.2944 0.0208
12 Cl 0.6903 0.7056 0.5208
13 Cl 0.8052 0.3599 0.2981
14 Cl 0.8052 0.6401 0.7981
15 Cl 0.8585 0.1456 0.5336
16 Cl 0.8585 0.8544 0.0336
17 F 0.1755 0.0059 0.7410
18 F 0.1755 0.9941 0.2410
19 F 0.8245 0.0059 0.7590
20 F 0.8245 0.9941 0.2590

Summary:
- Density: 2.47 g cm⁻³
- Relative energy among the computed polymorphs: 0 meV/atom
- Energy: -5.1172 eV per atom
- ΔE_f (raw): -782 kJ/mol of formula units


No. 21
Ac2La3Nd7 | PBE-GGA | relaxed

Unit cell a=6.6343 b=3.7027 c=18.4571 alpha=90.00 beta=96.70 gamma=90.00
Atoms (fractional coordinates):
1 Ac 0.0506 0.0000 0.1730
2 Ac 0.9494 0.0000 0.8270
3 La 0.4569 0.5000 0.8384
4 La 0.5000 0.0000 0.5000
5 La 0.5431 0.5000 0.1616
6 Nd 0.0000 0.5000 0.5000
7 Nd 0.2303 0.0000 0.6634
8 Nd 0.2585 0.0000 0.0012
9 Nd 0.2752 0.5000 0.3380
10 Nd 0.7248 0.5000 0.6620
11 Nd 0.7415 0.0000 0.9988
12 Nd 0.7697 0.0000 0.3366

Summary:
- DFT formation energy: 0.08 eV/atom
- Density: 6.93 g cm⁻³
- Energy: -4.6177 eV per atom


No. 22
LiHg2Cl | PBE-GGA | relaxed

Unit cell a=5.5749 b=5.5749 c=3.9661 alpha=90.00 beta=90.00 gamma=122.28
Atoms (fractional coordinates):
1 Li 0.0000 0.0000 0.0000
2 Hg 0.0000 0.5000 0.5000
3 Hg 0.5000 0.0000 0.5000
4 Cl 0.5000 0.5000 0.0000

Summary:
- Density: 7.07 g cm⁻³
- Relative energy among the computed polymorphs: 311 meV/atom
- Energy: -1.6113 eV per atom
- ΔE_f (raw): -201 kJ/mol of formula units


No. 23
TmScGaGe | PBE-GGA | relaxed

Unit cell a=3.8945 b=5.6026 c=5.6026 alpha=43.58 beta=90.00 gamma=90.00
Atoms (fractional coordinates):
1 Tm 0.0000 0.0000 0.0000
2 Sc 0.5000 0.2778 0.2778
3 Ga 0.5000 0.5585 0.5585
4 Ge 0.0000 0.7233 0.7233

Summary:
- DFT formation energy: -0.75 eV/atom
- Density: 7.02 g cm⁻³
- Relative energy among the computed polymorphs: 0 meV/atom
- Energy: -5.3601 eV per atom


No. 24
SrGa3I | PBE-GGA | relaxed

Unit cell a=6.1424 b=6.1424 c=6.1424 alpha=90.00 beta=90.00 gamma=90.00
Atoms (fractional coordinates):
1 Sr 0.0000 0.0000 0.0000
2 Ga 0.0000 0.0000 0.5000
3 Ga 0.0000 0.5000 0.0000
4 Ga 0.5000 0.0000 0.0000
5 I 0.5000 0.5000 0.5000

Summary:
- Density: 3.04 g cm⁻³
- Relative energy among the computed polymorphs: 360 meV/atom
- Energy: -1.8196 eV per atom
- ΔE_f (raw): 310 kJ/mol of formula units


No. 25
MgSc6Al | PBE-GGA | relaxed

Unit cell a=4.4934 b=4.4934 c=9.0274 alpha=90.00 beta=90.00 gamma=90.00
Atoms (fractional coordinates):
1 Mg 0.0000 0.0000 0.0000
2 Sc 0.0000 0.5000 0.2614
3 Sc 0.0000 0.5000 0.7386
4 Sc 0.5000 0.0000 0.2614
5 Sc 0.5000 0.0000 0.7386
6 Sc 0.5000 0.5000 0.0000
7 Sc 0.5000 0.5000 0.5000
8 Al 0.0000 0.0000 0.5000

Summary:
- DFT formation energy: -0.11 eV/atom
- Density: 2.92 g cm⁻³
- Energy: -5.5241 eV per atom


no.,calculated volume (Å³/cell)
1,81.45
2,105.75
3,149.37
4,121.00
5,470.90
6,153.55
7,118.75
8,169.94
9,99.52
10,462.80
11,239.94
12,175.31
13,370.24
14,192.66
15,130.75
16,127.59
17,97.63
18,49.11
19,117.99
20,587.92
21,450.30
22,104.21
23,84.28
24,231.75
25,182.27